1.
Density functional theory data (PBE) for a relaxed SmEr5Cu6 crystal.

a = 4.898 Å, b = 6.856 Å, c = 7.758 Å
α = 90.00°, β = 71.60°, γ = 90.00°
Positions (direct):
Cu 0.830 0.253 0.339
Cu 0.500 0.260 0.000
Cu 0.170 0.747 0.661
Cu 0.500 0.740 0.000
Cu 0.170 0.253 0.661
Cu 0.830 0.747 0.339
Er 0.000 0.500 0.000
Er 0.332 0.000 0.336
Er 0.668 0.000 0.664
Er 0.334 0.500 0.332
Er 0.666 0.500 0.668
Sm 0.000 0.000 0.000

Energy of formation in eV per atom: -0.2631

***

2.
Density functional theory data (PBE) for a relaxed KRh2W crystal.

a = 2.806 Å, b = 5.293 Å, c = 4.756 Å
α = 90.00°, β = 90.00°, γ = 90.00°
Last column: magnetic moment on the atom in μB.
Positions (direct):
Rh 0.500 0.500 0.000  0.04
Rh 0.000 0.000 0.000  0.01
W 0.500 0.000 0.500  0.68
K 0.000 0.500 0.500  0.04

Energy of formation in eV per atom: 1.2706

***

3.
Density functional theory data (PBE) for a relaxed NaAc2AgSe4 crystal.

a = 4.507 Å, b = 7.173 Å, c = 7.860 Å
α = 67.49°, β = 90.00°, γ = 90.00°
Positions (direct):
Ag 0.500 0.500 0.000
Na 0.000 0.500 0.500
Se 0.500 0.252 0.745
Se 0.500 0.748 0.255
Se 0.000 0.260 0.241
Se 0.000 0.740 0.759
Ac 0.000 0.000 0.000
Ac 0.500 0.000 0.500

Energy relative to the elements, uncorrected in eV per atom: -1.462

***

4.
Density functional theory data (PBE) for a relaxed PuCdBi crystal.

a = 3.322 Å, b = 5.358 Å, c = 5.358 Å
α = 120.00°, β = 90.00°, γ = 90.00°
Last column: magnetic moment on the atom in μB.
Positions (direct):
Bi 0.166 0.000 0.000  -0.10
Pu 0.667 0.333 0.667  5.59
Cd 0.167 0.667 0.333  -0.02

Energy of formation in eV per atom: -0.1234

***

5.
Density functional theory data (PBE) for a relaxed Pm2RhPb crystal.

a = 3.926 Å, b = 3.926 Å, c = 8.963 Å
α = 77.35°, β = 77.35°, γ = 60.00°
Positions (direct):
Pm 0.268 0.268 0.195
Pm 0.732 0.732 0.805
Rh 0.000 0.000 0.000
Pb 0.500 0.500 0.500

Energy of formation in eV per atom: -0.5189

***

6.
Density functional theory data (PBE) for a relaxed RbGeAs3 crystal.

a = 5.512 Å, b = 5.512 Å, c = 5.512 Å
α = 90.00°, β = 90.00°, γ = 90.00°
Positions (direct):
As 0.000 0.500 0.000
As 0.500 0.000 0.000
As 0.000 0.000 0.500
Ge 0.500 0.500 0.500
Rb 0.000 0.000 0.000

Energy of formation in eV per atom: 1.7829

***

Number 1: D(E_F) 0.435 states/eV/atom. Number 2: D(E_F) 1.387 states/eV/atom. Number 3: D(E_F) 0.000 states/eV/atom. Number 4: D(E_F) 3.308 states/eV/atom. Number 5: D(E_F) 0.677 states/eV/atom. Number 6: D(E_F) 0.710 states/eV/atom.